The following is a PBE-GGA calculation of crystalline Te2RuN at its relaxed geometry, from Alexandria via LeMat-Bulk.

Summary:
space-group type: R-3m (166)
total DFT energy (no corrections): -5.39 eV per atom
formation energy (no corrections): 13.414 kcal/mol of atoms
total magnetic moment: 0.0 μB/cell

Unit cell a=6.824 b=6.824 c=6.824 alpha=34.58 beta=34.58 gamma=34.58
Positions (direct):
1 N 0.000 0.000 0.000
2 Te 0.900 0.900 0.900
3 Te 0.100 0.100 0.100
4 Ru 0.500 0.500 0.500

=====

The following is a PBE-GGA calculation of crystalline Te2RuN at its relaxed geometry, from Alexandria via LeMat-Bulk.

Summary:
space-group type: I-42d (122)
total DFT energy (no corrections): -5.21 eV per atom
formation energy (no corrections): 17.460 kcal/mol of atoms
total magnetic moment: 0.0 μB/cell

Unit cell a=5.612 b=5.612 c=6.839 alpha=65.78 beta=65.78 gamma=90.00
Positions (direct):
1 Ru 0.750 0.250 0.500
2 Ru 0.000 0.000 0.000
3 Te 0.156 0.625 0.250
4 Te 0.594 0.125 0.250
5 Te 0.375 0.406 0.750
6 Te 0.875 0.844 0.750
7 N 0.500 0.500 0.000
8 N 0.250 0.750 0.500

=====

The following is a PBE-GGA calculation of crystalline Te2RuN at its relaxed geometry, from Alexandria via LeMat-Bulk.

Summary:
space-group type: R-3m (166)
total DFT energy (no corrections): -4.73 eV per atom
formation energy (no corrections): 28.514 kcal/mol of atoms
total magnetic moment: 0.2 μB/cell

Unit cell a=8.580 b=8.580 c=8.580 alpha=21.54 beta=21.54 gamma=21.54
Each line ends with the local moment (μB).
Positions (direct):
1 Ru 0.000 0.000 0.000  0.23
2 N 0.500 0.500 0.500  0.00
3 Te 0.899 0.899 0.899  0.00
4 Te 0.101 0.101 0.101  0.00

=====

The following is a PBE-GGA calculation of crystalline TeRu3N at its relaxed geometry, from Alexandria via LeMat-Bulk.

Summary:
energy relative to the lowest polymorph listed for this composition: 0.00 kJ/mol of atoms
space-group type: Pm-3m (221)
total DFT energy (no corrections): -7.43 eV per atom
formation energy (no corrections): 9.970 kcal/mol of atoms
total magnetic moment: 0.0 μB/cell

Unit cell a=4.149 b=4.149 c=4.149 alpha=90.00 beta=90.00 gamma=90.00
Positions (direct):
1 Te 0.500 0.500 0.500
2 N 0.000 0.000 0.000
3 Ru 0.000 0.500 0.000
4 Ru 0.500 0.000 0.000
5 Ru 0.000 0.000 0.500

=====

> The lowest total DFT energy (no corrections) belongs to which entry?

TeRu3N